# Li2Cu2Pt

A geometry-optimized Li2Cu2Pt structure (PBE-GGA, the Alexandria database).

The structure belongs to space group I4/mmm (No. 139); the cell edges are 3.4626, 3.4626 and 11.6205 Å and the angles 90.00°, 90.00° and 90.00°. The distinct sites, in fractional coordinates, are Li at (0.0000, 0.5000, 0.2500), Cu at (0.0000, 0.0000, 0.0975) and Pt at (0.0000, 0.0000, 0.5000).

As for the energy above the most stable polymorph in this dataset: 9.915 kcal/mol of atoms. The energy of formation comes out at 14.1 kJ per mole of atoms.

# PmHoCu4

A geometry-optimized PmHoCu4 structure (PBE-GGA, the Alexandria database).

The structure belongs to space group F-43m (No. 216); the cell edges are 7.4863, 7.4863 and 7.4863 Å and the angles 90.00°, 90.00° and 90.00°. The distinct sites, in fractional coordinates, are Pm at (0.0000, 0.0000, 0.0000), Ho at (0.2500, 0.2500, 0.2500) and Cu at (0.1243, 0.1243, 0.6243).

As for the energy above the most stable polymorph in this dataset: 2.568 kcal/mol of atoms. The energy of formation comes out at -13.3 kJ per mole of atoms.

# Pm2Tc3C2

A geometry-optimized Pm2Tc3C2 structure (PBE-GGA, the Alexandria database).

The structure belongs to space group C2/m (No. 12); the cell edges are 10.2614, 3.1223 and 7.6880 Å and the angles 90.00°, 119.46° and 90.00°. The distinct sites, in fractional coordinates, are Pm at (0.1593, 0.0000, 0.2806), Tc at (0.0000, 0.5000, 0.5000), Tc at (0.1328, 0.5000, 0.9346) and C at (0.1214, 0.0000, 0.7435).

The energy of formation comes out at 12.1 kJ per mole of atoms.

# Ti2SnHAu

A geometry-optimized Ti2SnHAu structure (PBE-GGA, the Alexandria database).

The structure belongs to space group P4/mmm (No. 123); the cell edges are 4.0958, 4.0958 and 4.3778 Å and the angles 90.00°, 90.00° and 90.00°. The distinct sites, in fractional coordinates, are Ti at (0.0000, 0.5000, 0.0000), Sn at (0.0000, 0.0000, 0.5000), H at (0.5000, 0.5000, 0.0000) and Au at (0.5000, 0.5000, 0.5000).

As for the energy above the most stable polymorph in this dataset: 0.000 kcal/mol of atoms.

# AcThIrPt

A geometry-optimized AcThIrPt structure (PBE-GGA, the Alexandria database).

The structure belongs to space group F-43m (No. 216); the cell edges are 7.3396, 7.3396 and 7.3396 Å and the angles 90.00°, 90.00° and 90.00°. The distinct sites, in fractional coordinates, are Ac at (0.0000, 0.0000, 0.0000), Th at (0.0000, 0.0000, 0.5000), Ir at (0.2500, 0.2500, 0.2500) and Pt at (0.2500, 0.2500, 0.7500).

As for the energy above the most stable polymorph in this dataset: 4.623 kcal/mol of atoms. The energy of formation comes out at -71.9 kJ per mole of atoms.

# BeTl3Fe

A geometry-optimized BeTl3Fe structure (PBE-GGA, the Alexandria database).

The structure belongs to space group Pm-3m (No. 221); the cell edges are 5.1270, 5.1270 and 5.1270 Å and the angles 90.00°, 90.00° and 90.00°. The distinct sites, in fractional coordinates, are Be at (0.0000, 0.0000, 0.0000), Tl at (0.0000, 0.5000, 0.5000) and Fe at (0.5000, 0.5000, 0.5000).

As for the energy above the most stable polymorph in this dataset: 0.000 kcal/mol of atoms. The energy of formation comes out at 81.5 kJ per mole of atoms.

Number 1: total moment 0.0 μB per formula unit. Number 2: total moment 0.0 μB per formula unit. Number 3: total moment 0.0 μB per formula unit. Number 4: total moment 0.0 μB per formula unit. Number 5: total moment 0.0 μB per formula unit. Number 6: total moment 1.1 μB per formula unit.